Entry 1:
DFT (PBE-GGA) results for an optimized crystal structure of Y3HfPb.

Unit cell a=5.6992 b=5.6992 c=5.6992 alpha=90.00 beta=90.00 gamma=90.00
Space group Pm-3m (No. 221)
Symmetry-distinct sites (fractional):
Y 0.0000 0.0000 0.5000 [3 per cell]
Hf 0.5000 0.5000 0.5000 [1 per cell]
Pb 0.0000 0.0000 0.0000 [1 per cell]

Energy relative to the lowest polymorph listed for this composition (meV per atom): 165


Entry 2:
DFT (PBE-GGA) results for an optimized crystal structure of YHfPb.

Unit cell a=4.3918 b=4.3918 c=8.2849 alpha=90.00 beta=90.00 gamma=90.00
Space group P4/nmm (No. 129, origin choice 2)
Symmetry-distinct sites (fractional):
Y 0.2500 0.2500 0.1662 [2 per cell]
Hf 0.2500 0.7500 0.5000 [2 per cell]
Pb 0.2500 0.2500 0.7731 [2 per cell]


Entry 3:
DFT (PBE-GGA) results for an optimized crystal structure of YHfPb2.

Unit cell a=7.4758 b=7.4758 c=7.4758 alpha=90.00 beta=90.00 gamma=90.00
Space group Fm-3m (No. 225)
Symmetry-distinct sites (fractional):
Y 0.0000 0.0000 0.0000 [4 per cell]
Hf 0.0000 0.0000 0.5000 [4 per cell]
Pb 0.2500 0.2500 0.2500 [8 per cell]

Energy relative to the lowest polymorph listed for this composition (meV per atom): 113


Entry 4:
DFT (PBE-GGA) results for an optimized crystal structure of YHfPb2.

Unit cell a=4.8483 b=4.8483 c=4.3921 alpha=90.00 beta=90.00 gamma=90.00
Space group P4/mmm (No. 123)
Symmetry-distinct sites (fractional):
Y 0.0000 0.0000 0.0000 [1 per cell]
Hf 0.5000 0.5000 0.0000 [1 per cell]
Pb 0.0000 0.5000 0.5000 [2 per cell]

Energy relative to the lowest polymorph listed for this composition (meV per atom): 39


Entry 5:
DFT (PBE-GGA) results for an optimized crystal structure of Y3HfPb.

Unit cell a=5.5528 b=5.5528 c=5.5528 alpha=90.00 beta=90.00 gamma=90.00
Space group Pm-3m (No. 221)
Symmetry-distinct sites (fractional):
Y 0.0000 0.0000 0.5000 [3 per cell]
Hf 0.0000 0.0000 0.0000 [1 per cell]
Pb 0.5000 0.5000 0.5000 [1 per cell]

Energy relative to the lowest polymorph listed for this composition (meV per atom): 0


Entry 6:
DFT (PBE-GGA) results for an optimized crystal structure of YHf3Pb.

Unit cell a=5.2379 b=5.2379 c=5.2379 alpha=90.00 beta=90.00 gamma=90.00
Space group Pm-3m (No. 221)
Symmetry-distinct sites (fractional):
Y 0.0000 0.0000 0.0000 [1 per cell]
Hf 0.0000 0.0000 0.5000 [3 per cell]
Pb 0.5000 0.5000 0.5000 [1 per cell]

Energy relative to the lowest polymorph listed for this composition (meV per atom): 419


Entry 7:
DFT (PBE-GGA) results for an optimized crystal structure of Y2HfPb2.

Unit cell a=7.9218 b=7.9218 c=4.3914 alpha=90.00 beta=90.00 gamma=90.00
Space group P4/mbm (No. 127)
Symmetry-distinct sites (fractional):
Y 0.1657 0.3343 0.0000 [4 per cell]
Hf 0.0000 0.0000 0.5000 [2 per cell]
Pb 0.1432 0.6432 0.5000 [4 per cell]


Entry 8:
DFT (PBE-GGA) results for an optimized crystal structure of HfZnPb3.

Unit cell a=5.2858 b=5.2858 c=5.2858 alpha=90.00 beta=90.00 gamma=90.00
Space group Pm-3m (No. 221)
Symmetry-distinct sites (fractional):
Hf 0.0000 0.0000 0.0000 [1 per cell]
Zn 0.5000 0.5000 0.5000 [1 per cell]
Pb 0.0000 0.5000 0.5000 [3 per cell]

Energy relative to the lowest polymorph listed for this composition (meV per atom): 257


Entry 9:
DFT (PBE-GGA) results for an optimized crystal structure of Hf2ZnPb.

Unit cell a=4.4097 b=4.4097 c=16.7481 alpha=90.00 beta=90.00 gamma=120.00
Space group R3m (No. 160, hexagonal axes)
Symmetry-distinct sites (fractional):
Hf 0.0000 0.0000 0.0000 [3 per cell]
Hf 0.0000 0.0000 0.2089 [3 per cell]
Zn 0.0000 0.0000 0.6057 [3 per cell]
Pb 0.0000 0.0000 0.7779 [3 per cell]

Energy relative to the lowest polymorph listed for this composition (meV per atom): 190


Entry 10:
DFT (PBE-GGA) results for an optimized crystal structure of Hf2ZnPb.

Unit cell a=3.1530 b=3.1530 c=8.4431 alpha=90.00 beta=90.00 gamma=90.00
Space group P4/mmm (No. 123)
Symmetry-distinct sites (fractional):
Hf 0.0000 0.0000 0.2161 [2 per cell]
Zn 0.5000 0.5000 0.0000 [1 per cell]
Pb 0.5000 0.5000 0.5000 [1 per cell]

Energy relative to the lowest polymorph listed for this composition (meV per atom): 23


Entry 11:
DFT (PBE-GGA) results for an optimized crystal structure of Hf2ZnPb.

Unit cell a=4.5604 b=4.5604 c=14.6440 alpha=90.00 beta=90.00 gamma=120.00
Space group R-3m (No. 166, hexagonal axes)
Symmetry-distinct sites (fractional):
Hf 0.0000 0.0000 0.2337 [6 per cell]
Zn 0.0000 0.0000 0.5000 [3 per cell]
Pb 0.0000 0.0000 0.0000 [3 per cell]

Energy relative to the lowest polymorph listed for this composition (meV per atom): 104


Entry 12:
DFT (PBE-GGA) results for an optimized crystal structure of Hf2Zn2Pb.

Unit cell a=7.9448 b=7.9448 c=3.3334 alpha=90.00 beta=90.00 gamma=90.00
Space group P4/mbm (No. 127)
Symmetry-distinct sites (fractional):
Hf 0.1357 0.3643 0.0000 [4 per cell]
Zn 0.1635 0.6635 0.5000 [4 per cell]
Pb 0.0000 0.0000 0.0000 [2 per cell]

Energy relative to the lowest polymorph listed for this composition (meV per atom): 103


| no. | energy relative to the elements (eV/atom) | DOS(E_F) (states/eV per cell) |
| --- | --- | --- |
| 1 | 0.742 | 5.50 |
| 2 | -0.343 | 4.26 |
| 3 | -0.034 | 18.43 |
| 4 | -0.109 | 5.18 |
| 5 | 0.578 | 3.81 |
| 6 | 1.499 | 9.99 |
| 7 | -0.298 | 9.09 |
| 8 | 0.752 | 3.82 |
| 9 | 0.164 | 9.15 |
| 10 | -0.003 | 3.61 |
| 11 | 0.078 | 5.33 |
| 12 | 0.128 | 14.50 |